# 1
Density functional theory data (PBE-GGA) for an optimized crystal structure of LaSc2InFe.

Cell lengths 4.8429, 4.8429, 5.1367 Å; angles 90.00, 90.00, 90.00 degrees
With the nearest neighbours (Å) after each atom.
Fractional coordinates of all 5 atoms:
La  0.0000  0.0000  0.0000  4 In 3.42, 8 Sc 3.53
Sc  0.0000  0.5000  0.5000  2 Fe 2.42
Sc  0.5000  0.0000  0.5000  2 Fe 2.42
In  0.5000  0.5000  0.0000  2 Fe 2.57
Fe  0.5000  0.5000  0.5000  4 Sc 2.42, 2 In 2.57

Mass density, kg/m3: 5506
M_tot, μB/cell: 0.0
ΔH_f (0 K), meV/atom: -128.3

# 2
Density functional theory data (PBE-GGA) for an optimized crystal structure of TbEuPb4.

Cell lengths 6.4843, 6.4843, 6.4843 Å; angles 60.00, 60.00, 60.00 degrees
With the nearest neighbours (Å) after each atom.
Fractional coordinates of all 6 atoms:
Tb  0.0000  0.0000  0.0000  12 Pb 3.80, 4 Eu 3.97
Eu  0.7500  0.7500  0.7500  12 Pb 3.80, 4 Tb 3.97
Pb  0.3746  0.3746  0.3746  6 Pb 3.23-3.25
Pb  0.3746  0.3746  0.8761  6 Pb 3.23-3.25
Pb  0.3746  0.8761  0.3746  6 Pb 3.23-3.25
Pb  0.8761  0.3746  0.3746  6 Pb 3.23-3.25

Mass density, kg/m3: 9817
M_tot, μB/cell: 7.9
ΔH_f (0 K), meV/atom: -196.9

# 3
Density functional theory data (PBE-GGA) for an optimized crystal structure of SrAlFe.

Cell lengths 5.0488, 5.0488, 5.0488 Å; angles 60.00, 60.00, 60.00 degrees
With the nearest neighbours (Å) after each atom.
Fractional coordinates of all 3 atoms:
Sr  0.0000  0.0000  0.0000  4 Fe 3.09, 4 Al 3.09
Al  0.7500  0.7500  0.7500  4 Sr 3.09
Fe  0.2500  0.2500  0.2500  4 Sr 3.09

Mass density, kg/m3: 3110
M_tot, μB/cell: 2.7
ΔH_f (0 K), meV/atom: 1233.8

# 4
Density functional theory data (PBE-GGA) for an optimized crystal structure of Co2AgSb.

Cell lengths 4.9277, 4.9277, 4.9277 Å; angles 135.92, 130.93, 68.07 degrees
With the nearest neighbours (Å) after each atom.
Fractional coordinates of all 4 atoms:
Co  0.0000  0.0000  0.0000  2 Co 2.49, 4 Ag 2.77
Co  0.7954  0.2954  0.5000  2 Co 2.49, 4 Sb 2.77
Ag  0.5324  0.5324  0.0000  8 Co 2.77-2.83, 4 Sb 2.79-2.87
Sb  0.2643  0.7643  0.5000  8 Co 2.77-2.84, 4 Ag 2.79-2.87

Mass density, kg/m3: 9336
M_tot, μB/cell: 2.8
Formation energy without anion corrections, meV/atom: 337

The highest M_tot belongs to which entry?
TbEuPb4

The highest mass density belongs to which entry?
TbEuPb4

What is the mass density in the first record?
5506 kg/m3

Which of these has the highest mass density?
TbEuPb4